Computed, not measured: Sr2Ca2As2O after structural relaxation at the GGA-PBE level of DFT.

a b c (Å): 4.645 4.645 8.761
angles (deg): 105.37 105.37 90.00
Atoms (fractional coordinates):
Ca 0.500 0.000 0.000
Sr 0.171 0.171 0.341
As 0.368 0.368 0.736
As 0.632 0.632 0.264
O 0.000 0.000 0.000
Sr 0.829 0.829 0.659
Ca 0.000 0.500 0.000

Properties
* E_form (uncorrected): -12.20 eV/f.u.
* volume: 175.3 Å³ per cell
* theoretical density: 3.991 g cm⁻³



Computed, not measured: CdP14Pb after structural relaxation at the GGA-PBE level of DFT.

a b c (Å): 9.811 11.726 13.079
angles (deg): 90.00 90.00 90.00
Atoms (fractional coordinates):
P 0.454 0.176 0.177
P 0.250 0.222 0.467
P 0.599 0.880 0.980
P 0.416 0.937 0.406
P 0.046 0.324 0.677
P 0.914 0.073 0.928
P 0.750 0.137 0.677
P 0.546 0.824 0.823
P 0.084 0.937 0.406
Cd 0.250 0.104 0.294
P 0.099 0.380 0.520
P 0.084 0.563 0.906
P 0.750 0.363 0.177
P 0.901 0.880 0.980
P 0.250 0.637 0.823
P 0.414 0.573 0.572
P 0.901 0.620 0.480
P 0.250 0.408 0.085
P 0.546 0.676 0.323
P 0.584 0.063 0.594
P 0.750 0.908 0.415
P 0.750 0.722 0.033
P 0.454 0.324 0.677
P 0.078 0.362 0.189
P 0.422 0.138 0.689
P 0.750 0.778 0.533
P 0.250 0.278 0.967
Cd 0.750 0.604 0.206
P 0.599 0.620 0.480
P 0.250 0.828 0.003
P 0.414 0.927 0.072
P 0.750 0.328 0.497
P 0.401 0.120 0.020
P 0.578 0.638 0.811
P 0.916 0.063 0.594
P 0.922 0.638 0.811
P 0.086 0.927 0.072
P 0.750 0.172 0.997
P 0.078 0.138 0.689
P 0.046 0.176 0.177
P 0.578 0.862 0.311
P 0.099 0.120 0.020
P 0.250 0.863 0.323
P 0.586 0.073 0.928
P 0.250 0.672 0.503
Cd 0.250 0.396 0.794
Pb 0.250 0.881 0.793
P 0.750 0.592 0.915
P 0.401 0.380 0.520
P 0.914 0.427 0.428
P 0.584 0.437 0.094
P 0.086 0.573 0.572
P 0.250 0.092 0.585
P 0.954 0.824 0.823
P 0.416 0.563 0.906
Pb 0.750 0.119 0.207
Pb 0.250 0.619 0.293
Cd 0.750 0.896 0.706
P 0.916 0.437 0.094
P 0.586 0.427 0.428
P 0.954 0.676 0.323
Pb 0.750 0.381 0.707
P 0.422 0.362 0.189
P 0.922 0.862 0.311

Properties
* DFT formation energy: 0.183 eV per atom
* density of states at the Fermi level: 0.244 states/eV/atom
* volume: 1504.8 Å³ per cell
* theoretical density: 3.325 g cm⁻³



Computed, not measured: Li2Mg3Pb2 after structural relaxation at the GGA-PBE level of DFT.

a b c (Å): 4.830 4.830 8.007
angles (deg): 97.33 101.83 116.65
Atoms (fractional coordinates):
Pb 0.184 0.566 0.751
Mg 0.000 0.000 0.000
Pb 0.816 0.434 0.249
Mg 0.263 0.151 0.413
Mg 0.737 0.849 0.587
Li 0.432 0.732 0.164
Li 0.568 0.268 0.836

Properties
* DFT formation energy: -0.134 eV per atom
* density of states at the Fermi level: 0.279 states/eV/atom
* volume: 158.2 Å³ per cell
* theoretical density: 5.262 g cm⁻³



Computed, not measured: YTeCl3 after structural relaxation at the GGA-PBE level of DFT.

a b c (Å): 5.527 5.527 5.527
angles (deg): 90.00 90.00 90.00
Each line ends with the local moment (μB).
Atoms (fractional coordinates):
Cl 0.500 0.000 0.000  0.00
Y 0.500 0.500 0.500  0.79
Cl 0.000 0.000 0.500  0.02
Cl 0.000 0.500 0.000  0.02
Te 0.000 0.000 0.000  0.00

Properties
* density of states at the Fermi level: 1.465 states/eV/atom
* E_form (uncorrected): -0.22 eV/f.u.
* volume: 168.8 Å³ per cell
* theoretical density: 3.176 g cm⁻³



Computed, not measured: ZrCr2Se after structural relaxation at the GGA-PBE level of DFT.

a b c (Å): 4.602 4.602 4.602
angles (deg): 60.00 60.00 60.00
Each line ends with the local moment (μB).
Atoms (fractional coordinates):
Cr 0.250 0.250 0.250  -3.10
Se 0.500 0.500 0.500  0.05
Cr 0.000 0.000 0.000  3.09
Zr 0.750 0.750 0.750  0.04

Properties
* density of states at the Fermi level: 1.606 states/eV/atom
* E_form (uncorrected): 1.11 eV/f.u.
* volume: 68.9 Å³ per cell
* theoretical density: 6.605 g cm⁻³



Computed, not measured: CeMgOsPd after structural relaxation at the GGA-PBE level of DFT.

a b c (Å): 4.740 4.740 4.740
angles (deg): 60.00 60.00 60.00
Atoms (fractional coordinates):
Ce 0.250 0.250 0.250
Os 0.500 0.500 0.500
Mg 0.750 0.750 0.750
Pd 0.000 0.000 0.000

Properties
* DFT formation energy: -0.266 eV per atom
* density of states at the Fermi level: 0.557 states/eV/atom
* volume: 75.3 Å³ per cell
* theoretical density: 10.165 g cm⁻³



Computed, not measured: Y4Hg5 after structural relaxation at the GGA-PBE level of DFT.

a b c (Å): 7.313 7.313 7.313
angles (deg): 96.69 96.69 140.07
Atoms (fractional coordinates):
Y 0.314 0.000 0.314
Hg 0.331 0.669 0.000
Hg 0.669 0.331 0.000
Y 0.000 0.686 0.686
Hg 0.669 0.669 0.337
Y 0.000 0.314 0.314
Y 0.686 0.000 0.686
Hg 0.331 0.331 0.663
Hg 0.000 0.000 0.000

Properties
* DFT formation energy: -0.347 eV per atom
* density of states at the Fermi level: 0.695 states/eV/atom
* volume: 235.9 Å³ per cell
* theoretical density: 9.562 g cm⁻³



Computed, not measured: PtRhBr2 after structural relaxation at the GGA-PBE level of DFT.

a b c (Å): 3.940 4.573 4.579
angles (deg): 84.24 90.00 90.00
Atoms (fractional coordinates):
Br 0.000 0.992 0.992
Rh 0.500 0.750 0.750
Br 0.000 0.508 0.508
Pt 0.500 0.250 0.250

Properties
* density of states at the Fermi level: 0.858 states/eV/atom
* E_form (uncorrected): 2.20 eV/f.u.
* volume: 82.1 Å³ per cell
* theoretical density: 9.262 g cm⁻³



Question: What is the volume in the third record?
Answer: 158.2 Å³ per cell



Question: Look up the volume of the second one.
Answer: 1504.8 Å³ per cell



Please write out number 6 again, unchanged.
Computed, not measured: CeMgOsPd after structural relaxation at the GGA-PBE level of DFT.

a b c (Å): 4.740 4.740 4.740
angles (deg): 60.00 60.00 60.00
Atoms (fractional coordinates):
Ce 0.250 0.250 0.250
Os 0.500 0.500 0.500
Mg 0.750 0.750 0.750
Pd 0.000 0.000 0.000

Properties
* DFT formation energy: -0.266 eV per atom
* density of states at the Fermi level: 0.557 states/eV/atom
* volume: 75.3 Å³ per cell
* theoretical density: 10.165 g cm⁻³